No. 1
Here is a relaxed Ba2DyTlO5 crystal from the Alexandria database. Energies are from PBE.

a = 3.6275 Å, b = 7.7078 Å, c = 11.6422 Å
α = 90.00°, β = 90.00°, γ = 103.61°
Sites, in units of the cell vectors:
Ba 0.8603 0.7206 0.7901
Ba 0.1103 0.2207 0.6938
Ba 0.1397 0.2794 0.2901
Ba 0.8897 0.7793 0.1938
Dy 0.7817 0.5633 0.5102
Dy 0.2183 0.4367 0.0102
Tl 0.5223 0.0446 0.9635
Tl 0.4777 0.9554 0.4635
O 0.3668 0.7337 0.0008
O 0.6902 0.3805 0.8869
O 0.4942 0.9884 0.7829
O 0.2801 0.5601 0.6378
O 0.9389 0.8778 0.5579
O 0.6332 0.2663 0.5008
O 0.3098 0.6195 0.3869
O 0.5058 0.0116 0.2829
O 0.7199 0.4399 0.1378
O 0.0611 0.1222 0.0579

Output
**E_form (uncorrected)**: -2.309 eV/atom
**Total moment**: 0.00 μB per cell
**Space group**: No. 36

No. 2
Here is a relaxed TlBTe2I crystal from the Alexandria database. Energies are from PBE.

a = 4.7769 Å, b = 4.7769 Å, c = 7.8094 Å
α = 90.00°, β = 90.00°, γ = 90.00°
Sites, in units of the cell vectors:
I 0.0000 0.0000 0.5000
Tl 0.5000 0.5000 0.5000
Te 0.0000 0.5000 0.0000
Te 0.5000 0.0000 0.0000
B 0.0000 0.0000 0.0000

Output
**E_form (uncorrected)**: 0.450 eV/atom
**Total moment**: 0.00 μB per cell
**E above lowest polymorph**: 0 meV per atom
**Space group**: No. 123